Here is a geometry-optimized Si12Ni31 structure from OQMD via LeMat-Bulk. Energies are from PBE-GGA.

Lattice parameters (Å, degrees): 6.6525 6.6525 12.2768 90.00 90.00 120.00
Space group P321 (No. 150)
Inequivalent atoms, fractional coordinates:
Si (0.0000, 0.0000, 0.2093) [2 per cell]
Si (0.0000, 0.3505, 0.0000) [3 per cell]
Si (0.0000, 0.6811, 0.5000) [3 per cell]
Si (0.3333, 0.6667, 0.2728) [2 per cell]
Si (0.3333, 0.6667, 0.7755) [2 per cell]
Ni (0.0000, 0.0000, 0.0000) [1 per cell]
Ni (0.0000, 0.0000, 0.4030) [2 per cell]
Ni (0.0353, 0.3568, 0.1945) [6 per cell]
Ni (0.0375, 0.7023, 0.6979) [6 per cell]
Ni (0.0624, 0.6911, 0.9037) [6 per cell]
Ni (0.0786, 0.4117, 0.4045) [6 per cell]
Ni (0.3333, 0.6667, 0.0668) [2 per cell]
Ni (0.3333, 0.6667, 0.5722) [2 per cell]

=====

Here is a geometry-optimized Si2Ni structure from OQMD via LeMat-Bulk. Energies are from PBE-GGA.

Lattice parameters (Å, degrees): 6.303 3.418 7.086 90.00 90.00 90.00
Space group Pnma (No. 62)
Inequivalent atoms, fractional coordinates:
Si (0.045, 0.250, 0.151) [4 per cell]
Si (0.123, 0.250, 0.571) [4 per cell]
Ni (0.249, 0.750, 0.373) [4 per cell]

=====

Here is a geometry-optimized SiNi2 structure from OQMD via LeMat-Bulk. Energies are from PBE-GGA.

Lattice parameters (Å, degrees): 6.558 6.558 6.558 90.00 90.00 90.00
Space group Fd-3m (No. 227, origin choice 2)
Inequivalent atoms, fractional coordinates:
Si (0.125, 0.125, 0.125) [8 per cell]
Ni (0.000, 0.000, 0.500) [16 per cell]

=====

Here is a geometry-optimized Si2Ni3 structure from OQMD via LeMat-Bulk. Energies are from PBE-GGA.

Lattice parameters (Å, degrees): 12.203 10.789 6.908 90.00 90.00 90.00
Space group Cmc2_1 (No. 36)
Inequivalent atoms, fractional coordinates:
Si (0.000, 0.092, 0.000) [4 per cell]
Si (0.000, 0.344, 0.501) [4 per cell]
Si (0.119, 0.443, 0.002) [8 per cell]
Si (0.151, 0.158, 0.293) [8 per cell]
Si (0.152, 0.158, 0.709) [8 per cell]
Ni (0.000, 0.117, 0.503) [4 per cell]
Ni (0.000, 0.265, 0.189) [4 per cell]
Ni (0.000, 0.266, 0.813) [4 per cell]
Ni (0.000, 0.500, 0.252) [4 per cell]
Ni (0.172, 0.381, 0.313) [8 per cell]
Ni (0.173, 0.382, 0.691) [8 per cell]
Ni (0.181, 0.004, 0.001) [8 per cell]
Ni (0.197, 0.253, 0.002) [8 per cell]

=====

Here is a geometry-optimized SiNi3 structure from OQMD via LeMat-Bulk. Energies are from PBE-GGA.

Lattice parameters (Å, degrees): 3.494 3.494 3.494 90.00 90.00 90.00
Space group Pm-3m (No. 221)
Inequivalent atoms, fractional coordinates:
Si (0.000, 0.000, 0.000) [1 per cell]
Ni (0.000, 0.500, 0.500) [3 per cell]

=====

Here is a geometry-optimized Si2Ni structure from OQMD via LeMat-Bulk. Energies are from PBE-GGA.

Lattice parameters (Å, degrees): 6.828 6.828 6.828 90.00 90.00 90.00
Space group Fd-3m (No. 227, origin choice 2)
Inequivalent atoms, fractional coordinates:
Si (0.000, 0.000, 0.000) [16 per cell]
Ni (0.125, 0.125, 0.625) [8 per cell]

=====

Here is a geometry-optimized SmSiNi4 structure from OQMD via LeMat-Bulk. Energies are from PBE-GGA.

Lattice parameters (Å, degrees): 5.107 8.266 3.965 90.00 90.00 90.00
Space group Cmmm (No. 65)
Inequivalent atoms, fractional coordinates:
Sm (0.000, 0.000, 0.000) [2 per cell]
Si (0.000, 0.500, 0.500) [2 per cell]
Ni (0.000, 0.342, 0.000) [4 per cell]
Ni (0.250, 0.250, 0.500) [4 per cell]

=====

Here is a geometry-optimized Sm3Si2Ni structure from OQMD via LeMat-Bulk. Energies are from PBE-GGA.

Lattice parameters (Å, degrees): 11.518 4.196 11.492 90.00 90.00 90.00
Space group Pnma (No. 62)
Inequivalent atoms, fractional coordinates:
Sm (0.059, 0.250, 0.124) [4 per cell]
Sm (0.117, 0.750, 0.559) [4 per cell]
Sm (0.212, 0.250, 0.804) [4 per cell]
Si (0.028, 0.750, 0.313) [4 per cell]
Si (0.198, 0.750, 0.993) [4 per cell]
Ni (0.129, 0.250, 0.365) [4 per cell]

=====

Here is a geometry-optimized Sm3Si2Ni6 structure from OQMD via LeMat-Bulk. Energies are from PBE-GGA.

Lattice parameters (Å, degrees): 8.855 8.855 8.855 90.00 90.00 90.00
Space group Im-3m (No. 229)
Inequivalent atoms, fractional coordinates:
Sm (0.000, 0.000, 0.285) [12 per cell]
Si (0.250, 0.250, 0.250) [8 per cell]
Ni (0.000, 0.331, 0.331) [24 per cell]

=====

Here is a geometry-optimized TbSmSi4Ni2 structure from OQMD via LeMat-Bulk. Energies are from PBE-GGA.

Lattice parameters (Å, degrees): 4.010 4.057 16.351 90.00 90.00 90.00
Space group Amm2 (No. 38)
Inequivalent atoms, fractional coordinates:
Tb (0.000, 0.000, 0.000) [2 per cell]
Sm (0.500, 0.000, 0.788) [2 per cell]
Si (0.000, 0.000, 0.354) [2 per cell]
Si (0.000, 0.000, 0.643) [2 per cell]
Si (0.500, 0.000, 0.143) [2 per cell]
Si (0.500, 0.000, 0.435) [2 per cell]
Ni (0.000, 0.000, 0.214) [2 per cell]
Ni (0.500, 0.000, 0.573) [2 per cell]

=====

Here is a geometry-optimized TbSmSi2Ni structure from OQMD via LeMat-Bulk. Energies are from PBE-GGA.

Lattice parameters (Å, degrees): 10.407 4.232 10.178 90.00 118.39 90.00
Space group C2/m (No. 12)
Inequivalent atoms, fractional coordinates:
Tb (0.008, 0.000, 0.330) [4 per cell]
Sm (0.191, 0.000, 0.106) [4 per cell]
Si (0.004, 0.500, 0.877) [4 per cell]
Si (0.149, 0.500, 0.561) [4 per cell]
Ni (0.228, 0.500, 0.359) [4 per cell]

=====

Here is a geometry-optimized SmSi2TcNi structure from OQMD via LeMat-Bulk. Energies are from PBE-GGA.

Lattice parameters (Å, degrees): 4.063 4.063 10.005 90.00 90.00 90.00
Space group I-4m2 (No. 119)
Inequivalent atoms, fractional coordinates:
Sm (0.000, 0.000, 0.000) [2 per cell]
Si (0.000, 0.000, 0.373) [4 per cell]
Tc (0.000, 0.500, 0.750) [2 per cell]
Ni (0.000, 0.500, 0.250) [2 per cell]

=====

Taking the records one at a time from the top gives uncorrected energy values of -6.0273; -5.6280; -5.4875; -6.0400; -5.9954; -5.0348; -5.9820; -5.7781; -5.8979; -6.1121; -5.9307; -7.0383 eV/atom.